No. 1
{"formula": "Pm3PdPt8", "functional": "GGA-PBE", "state": "optimized geometry", "lattice_angstrom": [[5.446, 0.000, 0.000], [2.723, 4.717, 0.000], [2.723, 1.572, 8.878]], "species": ["Pt", "Pt", "Pt", "Pt", "Pt", "Pt", "Pt", "Pt", "Pm", "Pm", "Pm", "Pd"], "frac_coords": [[0.439, 0.938, 0.685], [0.688, 0.688, 0.935], [0.437, 0.942, 0.184], [0.938, 0.938, 0.685], [0.938, 0.439, 0.685], [0.942, 0.437, 0.184], [0.437, 0.437, 0.184], [0.189, 0.189, 0.434], [0.378, 0.378, 0.866], [0.509, 0.509, 0.474], [0.988, 0.988, 0.037], [0.868, 0.868, 0.396]], "dos_at_fermi_per_ev_cell": 10.72, "e_tot_ev_per_atom": -6.57, "volume_a3_per_cell": 228.1, "ef_ev_per_atom": -0.924, "magmom_total_mub_per_cell": 0.00, "spacegroup": "R3m (160)"}

No. 2
{"formula": "Pm6Pd8Pt", "functional": "GGA-PBE", "state": "optimized geometry", "lattice_angstrom": [[-2.952, 5.875, 3.519], [-0.341, 0.100, 7.449], [5.506, 5.154, 3.916]], "species": ["Pd", "Pd", "Pd", "Pd", "Pd", "Pd", "Pd", "Pd", "Pm", "Pm", "Pm", "Pm", "Pm", "Pm", "Pt"], "frac_coords": [[0.031, 0.582, 0.601], [0.692, 0.692, 0.924], [0.214, 0.969, 0.399], [0.786, 0.031, 0.601], [0.582, 0.786, 0.601], [0.308, 0.308, 0.076], [0.418, 0.214, 0.399], [0.969, 0.418, 0.399], [0.722, 0.339, 0.786], [0.153, 0.722, 0.786], [0.278, 0.661, 0.214], [0.339, 0.153, 0.786], [0.661, 0.847, 0.214], [0.847, 0.278, 0.214], [0.000, 0.000, 0.000]], "dos_at_fermi_per_ev_cell": 10.23, "e_tot_ev_per_atom": -5.73, "volume_a3_per_cell": 352.9, "ef_ev_per_atom": -0.656, "magmom_total_mub_per_cell": 0.00, "spacegroup": "R-3 (148)"}

No. 3
{"formula": "Pm6Pd3Pt", "functional": "GGA-PBE", "state": "optimized geometry", "lattice_angstrom": [[-6.873, 0.869, -0.432], [-0.834, -3.153, 6.932], [0.802, 9.717, 4.517]], "species": ["Pm", "Pm", "Pm", "Pm", "Pm", "Pm", "Pm", "Pm", "Pm", "Pm", "Pm", "Pm", "Pt", "Pt", "Pd", "Pd", "Pd", "Pd", "Pd", "Pd"], "frac_coords": [[0.163, 0.051, 0.751], [0.663, 0.449, 0.251], [0.837, 0.949, 0.249], [0.664, 0.176, 0.582], [0.166, 0.326, 0.422], [0.836, 0.676, 0.918], [0.666, 0.174, 0.922], [0.164, 0.324, 0.082], [0.337, 0.551, 0.749], [0.334, 0.826, 0.078], [0.336, 0.824, 0.418], [0.834, 0.674, 0.578], [0.500, 0.500, 0.500], [0.000, 0.000, 0.000], [0.943, 0.382, 0.745], [0.443, 0.118, 0.245], [0.557, 0.882, 0.755], [0.000, 0.000, 0.500], [0.500, 0.500, 0.000], [0.057, 0.618, 0.255]], "dos_at_fermi_per_ev_cell": 16.98, "e_tot_ev_per_atom": -5.66, "volume_a3_per_cell": 571.4, "ef_ev_per_atom": -0.651, "magmom_total_mub_per_cell": 0.00, "spacegroup": "P2_1/c (14)"}

No. 4
{"formula": "Pm6PdPt5", "functional": "GGA-PBE", "state": "optimized geometry", "lattice_angstrom": [[-4.945, -5.195, 1.010], [0.634, -2.658, 6.676], [-3.745, 2.943, 5.425]], "species": ["Pm", "Pm", "Pm", "Pm", "Pm", "Pm", "Pd", "Pt", "Pt", "Pt", "Pt", "Pt"], "frac_coords": [[0.747, 0.084, 0.337], [0.253, 0.579, 0.337], [0.747, 0.421, 0.663], [0.251, 0.254, 0.000], [0.749, 0.746, 0.000], [0.253, 0.916, 0.663], [0.000, 0.000, 0.000], [0.500, 0.500, 0.000], [0.500, 0.835, 0.330], [0.000, 0.667, 0.666], [0.000, 0.333, 0.334], [0.500, 0.165, 0.670]], "dos_at_fermi_per_ev_cell": 7.75, "e_tot_ev_per_atom": -6.33, "volume_a3_per_cell": 308.0, "ef_ev_per_atom": -1.006, "de_polymorph_mev_per_atom": 28, "magmom_total_mub_per_cell": 0.00, "spacegroup": "C2/m (12)"}

No. 5
{"formula": "Pm12Pd6Pt", "functional": "GGA-PBE", "state": "optimized geometry", "lattice_angstrom": [[-6.865, -3.222, -3.756], [0.682, -5.458, 6.432], [-3.633, 6.447, 4.106]], "species": ["Pm", "Pm", "Pm", "Pm", "Pm", "Pm", "Pm", "Pm", "Pm", "Pm", "Pm", "Pm", "Pd", "Pd", "Pd", "Pd", "Pd", "Pd", "Pt"], "frac_coords": [[0.078, 0.950, 0.323], [0.323, 0.078, 0.950], [0.423, 0.820, 0.582], [0.050, 0.677, 0.922], [0.677, 0.922, 0.050], [0.577, 0.180, 0.418], [0.922, 0.050, 0.677], [0.582, 0.423, 0.820], [0.180, 0.418, 0.577], [0.820, 0.582, 0.423], [0.950, 0.323, 0.078], [0.418, 0.577, 0.180], [0.310, 0.132, 0.617], [0.617, 0.310, 0.132], [0.690, 0.868, 0.383], [0.132, 0.617, 0.310], [0.868, 0.383, 0.690], [0.383, 0.690, 0.868], [0.000, 0.000, 0.000]], "dos_at_fermi_per_ev_cell": 22.66, "e_tot_ev_per_atom": -5.48, "volume_a3_per_cell": 580.8, "ef_ev_per_atom": -0.518, "magmom_total_mub_per_cell": 0.00, "spacegroup": "R-3 (148)"}

No. 6
{"formula": "Pm3Pd7Pt2", "functional": "GGA-PBE", "state": "optimized geometry", "lattice_angstrom": [[5.423, 0.000, 0.000], [2.711, 4.696, 0.000], [2.711, 1.565, 9.007]], "species": ["Pd", "Pd", "Pd", "Pd", "Pd", "Pd", "Pd", "Pm", "Pm", "Pm", "Pt", "Pt"], "frac_coords": [[0.586, 0.082, 0.747], [0.500, 0.500, 0.500], [0.082, 0.586, 0.747], [0.414, 0.414, 0.253], [0.586, 0.586, 0.747], [0.918, 0.414, 0.253], [0.414, 0.918, 0.253], [0.139, 0.139, 0.584], [0.861, 0.861, 0.416], [0.000, 0.000, 0.000], [0.667, 0.667, 0.999], [0.333, 0.333, 0.001]], "dos_at_fermi_per_ev_cell": 11.51, "e_tot_ev_per_atom": -5.94, "volume_a3_per_cell": 229.4, "ef_ev_per_atom": -0.718, "magmom_total_mub_per_cell": 0.00, "spacegroup": "R-3m (166)"}

- Number 6 is which compound?
  Pm3Pd7Pt2